Entry 1:
LaTaTe3 (PBE, optimized geometry); space group = Pm-3m (221); DFT total energy = -5.588 eV per atom
1.0
-1.379 5.087 -1.241
-4.907 -0.808 2.143
1.828 1.671 4.816
Te La Ta
3 1 1
direct
0.500 0.000 0.000
0.000 0.000 0.500
0.000 0.500 0.000
0.500 0.500 0.500
0.000 0.000 0.000



Entry 2:
EuYGe2 (PBE, optimized geometry); space group = R-3m (166); ΔH_f (0 K) = -0.485 eV/atom
1.0
3.863 0.000 0.000
1.931 3.345 0.000
1.931 1.115 8.245
Ge Eu Y
2 1 1
direct
0.253 0.253 0.242
0.747 0.747 0.758
0.500 0.500 0.500
0.000 0.000 0.000



Entry 3:
V6ReMo2 (PBE, optimized geometry); space group = Cmmm (65); ΔH_f (0 K) = -0.029 eV/atom
1.0
2.666 0.210 0.000
-1.151 2.414 0.000
0.000 0.000 19.361
V Mo Re
6 2 1
direct
0.259 0.741 0.785
0.759 0.241 0.109
0.759 0.241 0.891
0.260 0.740 0.437
0.260 0.740 0.563
0.259 0.741 0.215
0.760 0.240 0.673
0.760 0.240 0.327
0.259 0.741 0.000



Entry 4:
LaTbH (PBE, optimized geometry); space group = P3m1 (156); DFT total energy = -4.517 eV per atom
1.0
-2.613 -2.588 -0.391
3.563 -0.890 -0.432
0.385 -1.261 5.767
H Tb La
1 1 1
direct
0.667 0.333 0.349
0.333 0.667 0.566
0.000 0.000 0.086



Entry 5:
NaSmTlCl5 (PBE, optimized geometry); space group = C2/c (15); DFT total energy = -4.041 eV per atom
1.0
-4.680 -5.812 2.556
6.709 0.506 4.117
-5.011 8.203 3.358
Cl Sm Na Tl
10 2 2 2
direct
0.080 0.920 0.250
0.920 0.080 0.750
0.933 0.301 0.108
0.259 0.370 0.557
0.741 0.630 0.443
0.370 0.259 0.057
0.699 0.067 0.392
0.301 0.933 0.608
0.067 0.699 0.892
0.630 0.741 0.943
0.000 0.000 0.500
0.000 0.000 0.000
0.687 0.313 0.250
0.313 0.687 0.750
0.637 0.363 0.750
0.363 0.637 0.250



Entry 6:
PmSm2Ge4 (PBE, optimized geometry); space group = Immm (71); ΔH_f (0 K) = -0.757 eV/atom
1.0
3.979 0.000 -0.907
-0.226 4.250 -0.993
0.124 0.031 9.722
Ge Pm Sm
4 1 2
direct
0.343 0.343 0.686
0.933 0.433 0.866
0.657 0.657 0.314
0.067 0.567 0.134
0.500 0.000 0.000
0.181 0.181 0.362
0.819 0.819 0.638



Entry 7:
YHoP2 (PBE, optimized geometry); space group = R3m (160); ΔH_f (0 K) = -1.454 eV/atom
1.0
3.962 0.000 0.000
1.981 3.431 0.000
1.981 1.144 6.805
Y Ho P
1 1 2
direct
0.498 0.498 0.507
0.669 0.669 0.993
0.082 0.082 0.755
0.252 0.252 0.245



Entry 8:
BeTlPt2 (PBE, optimized geometry); space group = Immm (71); ΔH_f (0 K) = -0.154 eV/atom
1.0
-1.873 -4.362 -1.129
3.446 -2.273 -2.602
-0.515 1.927 4.454
Pt Tl Be
2 1 1
direct
0.056 0.056 0.000
0.444 0.444 0.000
0.750 0.250 0.500
0.250 0.750 0.500